(1)
This record from the Alexandria database describes crystalline LaZn10Pd2 at its relaxed geometry. The functional is PBE.

Results
The energy of formation from the pure elements is -375 kJ/mol of formula units. The calculation puts the total energy at -2.4570 eV/atom. The calculation puts the density of states at the Fermi level at 0.439 states/eV/atom. For the calculated density, the calculation gives 7.678 Mg/m³.

Lattice parameters (Å, degrees): 5.450 12.470 12.803 90.00 90.00 90.00
Space group Fmmm (No. 69)
Inequivalent atoms, fractional coordinates:
La (0.000, 0.000, 0.000)
Zn (0.000, 0.111, 0.389)
Zn (0.000, 0.174, 0.179)
Zn (0.250, 0.250, 0.000)
Pd (0.250, 0.000, 0.250)



(2)
This record from the Alexandria database describes crystalline LaZn3Pd at its relaxed geometry. The functional is PBE.

Results
The energy of formation from the pure elements is -232 kJ/mol of formula units. For the excess energy over the best structure of this formula in the dataset, the calculation gives 0 meV per atom. The calculation puts the total energy at -3.2691 eV/atom. The calculation puts the density of states at the Fermi level at 0.704 states/eV/atom. For the calculated density, the calculation gives 7.371 Mg/m³.

Lattice parameters (Å, degrees): 5.842 11.247 6.056 90.00 90.00 90.00
Space group Cmcm (No. 63)
Inequivalent atoms, fractional coordinates:
La (0.000, 0.237, 0.250)
Zn (0.000, 0.119, 0.750)
Zn (0.225, 0.500, 0.000)
Pd (0.000, 0.347, 0.750)



(3)
This record from the Alexandria database describes crystalline LaZnPd4 at its relaxed geometry. The functional is PBE.

Results
The energy of formation from the pure elements is -359 kJ/mol of formula units. The calculation puts the total energy at -5.1161 eV/atom. The calculation puts the density of states at the Fermi level at 0.381 states/eV/atom. For the calculated density, the calculation gives 9.499 Mg/m³.

Lattice parameters (Å, degrees): 7.543 4.128 7.074 90.00 90.00 90.00
Space group Pmma (No. 51)
Inequivalent atoms, fractional coordinates:
La (0.250, 0.000, 0.160)
Zn (0.250, 0.000, 0.728)
Pd (0.000, 0.000, 0.500)
Pd (0.051, 0.500, 0.808)
Pd (0.250, 0.500, 0.464)



(4)
This record from the Alexandria database describes crystalline La3Zn4Pd4 at its relaxed geometry. The functional is PBE.

Results
The energy of formation from the pure elements is -699 kJ/mol of formula units. For the excess energy over the best structure of this formula in the dataset, the calculation gives 41 meV per atom. The calculation puts the total energy at -4.3542 eV/atom. The calculation puts the density of states at the Fermi level at 0.595 states/eV/atom. For the calculated density, the calculation gives 7.718 Mg/m³.

Lattice parameters (Å, degrees): 3.986 4.371 13.876 83.08 81.80 89.98
Space group P-1 (No. 2)
Inequivalent atoms, fractional coordinates:
La (0.000, 0.000, 0.000)
La (0.147, 0.662, 0.705)
Zn (0.252, 0.254, 0.495)
Zn (0.402, 0.884, 0.196)
Pd (0.308, 0.797, 0.384)
Pd (0.449, 0.420, 0.100)



(5)
This record from the Alexandria database describes crystalline La3Zn3Pd8 at its relaxed geometry. The functional is PBE.

Results
The energy of formation from the pure elements is -910 kJ/mol of formula units. For the excess energy over the best structure of this formula in the dataset, the calculation gives 46 meV per atom. The calculation puts the total energy at -4.9702 eV/atom. The calculation puts the density of states at the Fermi level at 0.450 states/eV/atom. For the calculated density, the calculation gives 8.798 Mg/m³.

Lattice parameters (Å, degrees): 4.363 9.563 13.246 90.00 90.00 90.00
Space group Immm (No. 71)
Inequivalent atoms, fractional coordinates:
La (0.000, 0.000, 0.000)
La (0.000, 0.000, 0.299)
Zn (0.000, 0.233, 0.500)
Zn (0.000, 0.500, 0.000)
Pd (0.000, 0.290, 0.111)
Pd (0.000, 0.353, 0.320)



(6)
This record from the Alexandria database describes crystalline LaZn12Pd6 at its relaxed geometry. The functional is PBE.

Results
The energy of formation from the pure elements is -643 kJ/mol of formula units. The calculation puts the total energy at -3.0545 eV/atom. The calculation puts the density of states at the Fermi level at 0.559 states/eV/atom. For the calculated density, the calculation gives 7.957 Mg/m³.

Lattice parameters (Å, degrees): 11.3421 11.3421 8.7800 90.00 90.00 120.00
Space group R-3m (No. 166, hexagonal axes)
Inequivalent atoms, fractional coordinates:
La (0.0000, 0.0000, 0.0000)
Zn (0.0000, 0.3885, 0.5000)
Zn (0.0884, 0.1768, 0.3062)
Pd (0.0521, 0.5261, 0.2476)



(7)
This record from the Alexandria database describes crystalline LaZn2Pd at its relaxed geometry. The functional is PBE.

Results
The energy of formation from the pure elements is -155 kJ/mol of formula units. The calculation puts the total energy at -3.5682 eV/atom. The calculation puts the density of states at the Fermi level at 0.607 states/eV/atom. For the calculated density, the calculation gives 7.896 Mg/m³.

Lattice parameters (Å, degrees): 3.359 3.359 7.012 90.00 90.00 90.00
Space group P4/mmm (No. 123)
Inequivalent atoms, fractional coordinates:
La (0.000, 0.000, 0.000)
Zn (0.500, 0.500, 0.315)
Pd (0.000, 0.000, 0.500)



(8)
This record from the Alexandria database describes crystalline La2Zn9Pd6 at its relaxed geometry. The functional is PBE.

Results
The energy of formation from the pure elements is -774 kJ/mol of formula units. The calculation puts the total energy at -3.5590 eV/atom. The calculation puts the density of states at the Fermi level at 0.376 states/eV/atom. For the calculated density, the calculation gives 7.681 Mg/m³.

Lattice parameters (Å, degrees): 5.4460 5.4460 12.6680 90.00 90.00 120.00
Space group P6/mmm (No. 191)
Inequivalent atoms, fractional coordinates:
La (0.0000, 0.0000, 0.1699)
Zn (0.0000, 0.5000, 0.0000)
Zn (0.0000, 0.5000, 0.3404)
Pd (0.3333, 0.6667, 0.1728)
Pd (0.3333, 0.6667, 0.5000)



(9)
This record from the Alexandria database describes crystalline LaZnPd6 at its relaxed geometry. The functional is PBE.

Results
The energy of formation from the pure elements is -409 kJ/mol of formula units. For the excess energy over the best structure of this formula in the dataset, the calculation gives 0 meV per atom. The calculation puts the total energy at -5.1994 eV/atom. The calculation puts the density of states at the Fermi level at 1.119 states/eV/atom. For the calculated density, the calculation gives 10.277 Mg/m³.

Lattice parameters (Å, degrees): 4.190 4.190 7.757 90.00 90.00 90.00
Space group P4/mmm (No. 123)
Inequivalent atoms, fractional coordinates:
La (0.000, 0.000, 0.000)
Zn (0.000, 0.000, 0.500)
Pd (0.000, 0.500, 0.275)
Pd (0.500, 0.500, 0.000)
Pd (0.500, 0.500, 0.500)



(10)
This record from the Alexandria database describes crystalline La3Zn3Pd2 at its relaxed geometry. The functional is PBE.

Results
The energy of formation from the pure elements is -445 kJ/mol of formula units. The calculation puts the total energy at -4.2004 eV/atom. The calculation puts the density of states at the Fermi level at 0.782 states/eV/atom. For the calculated density, the calculation gives 7.300 Mg/m³.

Lattice parameters (Å, degrees): 8.184 16.104 5.701 90.00 90.00 90.00
Space group Pnma (No. 62)
Inequivalent atoms, fractional coordinates:
La (0.039, 0.104, 0.120)
La (0.164, 0.250, 0.627)
Zn (0.179, 0.035, 0.600)
Zn (0.179, 0.750, 0.625)
Pd (0.110, 0.611, 0.376)



Q: What is the formula in the fifth record?
A: La3Zn3Pd8